Material: NiAgAs2O8
Method: DFT, GGA+U
State: relaxed

Lattice parameters (Å, degrees): 4.9123 4.9123 7.0964 90.00 90.00 120.00
Last column: nearest neighbours and their distance in Å.
Space group P-3 (No. 147)
Symmetry-distinct sites (fractional):
Ni: 0.0000 0.0000 0.0000 (multiplicity 1)  6 O 1.89
Ag: 0.0000 0.0000 0.5000 (multiplicity 1)  12 O 2.83-2.85
As: 0.3333 0.6667 0.7788 (multiplicity 2)  4 O 1.73
O: 0.0078 0.6984 0.8374 (multiplicity 6)  1 As 1.73, 1 Ni 1.89
O: 0.3333 0.6667 0.5343 (multiplicity 2)  1 As 1.73

Calculated values
Crystal system: trigonal
Electronic total energy (eV/atom): -5.141
D(E_F) (states/eV per atom): 0.46
Magnetization (μB per formula unit): 1.0